<a>
An optimized crystal structure of Ca2ScFe. Source: Alexandria, functional GGA-PBE.

a b c (Å): 3.3972 3.3972 9.2651
angles (deg): 90.00 90.00 90.00
Fractional coordinates of all 4 atoms:
Ca 0.0000 0.0000 0.2070
Ca 0.0000 0.0000 0.7930
Sc 0.5000 0.5000 0.5000
Fe 0.5000 0.5000 0.0000

Results
- DOS(E_F): 1.64 states/eV/atom
- Symmetry: P4/mmm
- Total magnetic moment: 0.81 μB/atom
- Theoretical density: 2.81 Mg/m³

---

<b>
An optimized crystal structure of Ca2ScFe. Source: Alexandria, functional GGA-PBE.

a b c (Å): 10.7927 10.7927 10.7927
angles (deg): 18.32 18.32 18.32
Fractional coordinates of all 4 atoms:
Ca 0.2384 0.2384 0.2384
Ca 0.7616 0.7616 0.7616
Sc 0.0000 0.0000 0.0000
Fe 0.5000 0.5000 0.5000

Results
- DOS(E_F): 1.18 states/eV/atom
- Symmetry: R-3m
- Total magnetic moment: 0.76 μB/atom
- Theoretical density: 2.77 Mg/m³

---

Result of the stability comparison: <b> is the least stable of them.

---

<a>
An optimized crystal structure of Ca2ScFe. Source: Alexandria, functional GGA-PBE.

a b c (Å): 5.9496 5.9496 5.9496
angles (deg): 134.79 134.79 65.85
Fractional coordinates of all 4 atoms:
Ca 0.2500 0.7500 0.5000
Ca 0.7500 0.2500 0.5000
Sc 0.0000 0.0000 0.0000
Fe 0.5000 0.5000 0.0000

Results
- DOS(E_F): 1.45 states/eV/atom
- Symmetry: I4/mmm
- Total magnetic moment: 0.26 μB/atom
- Theoretical density: 2.88 Mg/m³

---

<b>
An optimized crystal structure of Ca2ScFe. Source: Alexandria, functional GGA-PBE.

a b c (Å): 3.5146 3.5146 8.7231
angles (deg): 90.00 90.00 90.00
Fractional coordinates of all 4 atoms:
Ca 0.0000 0.0000 0.0000
Ca 0.5000 0.5000 0.3567
Sc 0.5000 0.5000 0.7133
Fe 0.0000 0.0000 0.5918

Results
- DOS(E_F): 1.41 states/eV/atom
- Symmetry: P4mm
- Total magnetic moment: 0.34 μB/atom
- Theoretical density: 2.79 Mg/m³

---

Result of the stability comparison: <a> is the least stable of them.

---

<a>
An optimized crystal structure of Ca2ScFe. Source: Alexandria, functional GGA-PBE.

a b c (Å): 6.3433 6.3433 6.3433
angles (deg): 148.37 126.30 63.67
Fractional coordinates of all 4 atoms:
Ca 0.0000 0.0000 0.0000
Ca 0.6911 0.1911 0.5000
Sc 0.3809 0.3809 0.0000
Fe 0.2169 0.7169 0.5000

Results
- DOS(E_F): 1.32 states/eV/atom
- Symmetry: Imm2
- Total magnetic moment: 0.20 μB/atom
- Theoretical density: 2.81 Mg/m³

---

<b>
An optimized crystal structure of Ca2ScFe. Source: Alexandria, functional GGA-PBE.

a b c (Å): 5.8231 5.8231 3.4145
angles (deg): 90.00 90.00 111.57
Fractional coordinates of all 4 atoms:
Ca 0.0000 0.5000 0.0000
Ca 0.5000 0.0000 0.0000
Sc 0.0000 0.0000 0.5000
Fe 0.5000 0.5000 0.5000

Results
- DOS(E_F): 1.78 states/eV/atom
- Symmetry: Cmmm
- Total magnetic moment: 0.38 μB/atom
- Theoretical density: 2.79 Mg/m³

---

<c>
An optimized crystal structure of Ca2ScFe. Source: Alexandria, functional GGA-PBE.

a b c (Å): 5.6042 5.6042 5.6042
angles (deg): 129.19 129.19 74.71
Fractional coordinates of all 4 atoms:
Ca 0.0000 0.0000 0.0000
Ca 0.7500 0.2500 0.5000
Sc 0.5000 0.5000 0.0000
Fe 0.2500 0.7500 0.5000

Results
- DOS(E_F): 1.32 states/eV/atom
- Symmetry: I-4m2
- Total magnetic moment: 0.27 μB/atom
- Theoretical density: 2.92 Mg/m³

---

Result of the stability comparison: <b> is the least stable of them.